[1]
! ZrCuOs2 PBE optimized geometry; values from VASP
! Distance to the lowest polymorph of the same formula: 85 meV/atom
! DOS(E_F): 6.94 states/eV per cell
&SYSTEM
  ibrav = 0, nat = 8, ntyp = 3
/
ATOMIC_SPECIES
Zr 91.22 Zr.upf
Cu 63.55 Cu.upf
Os 190.23 Os.upf
CELL_PARAMETERS angstrom
3.954 0.000 0.000
0.000 3.954 0.000
0.000 0.000 7.937
ATOMIC_POSITIONS crystal
Zr 0.000 0.000 0.000
Zr 0.500 0.500 0.500
Cu 0.000 0.500 0.750
Cu 0.500 0.000 0.250
Os 0.000 0.000 0.500
Os 0.000 0.500 0.250
Os 0.500 0.000 0.750
Os 0.500 0.500 0.000

[2]
! Zr2CuOs PBE optimized geometry; values from VASP
! DOS(E_F): 11.94 states/eV per cell
! DFT total energy: -7.90 eV/atom
&SYSTEM
  ibrav = 0, nat = 16, ntyp = 3
/
ATOMIC_SPECIES
Zr 91.22 Zr.upf
Cu 63.55 Cu.upf
Os 190.23 Os.upf
CELL_PARAMETERS angstrom
7.322 0.000 0.000
0.000 7.322 0.000
0.000 0.000 5.641
ATOMIC_POSITIONS crystal
Zr 0.241 0.250 0.125
Zr 0.250 0.741 0.375
Zr 0.250 0.759 0.875
Zr 0.259 0.250 0.625
Zr 0.741 0.750 0.625
Zr 0.750 0.241 0.875
Zr 0.750 0.259 0.375
Zr 0.759 0.750 0.125
Cu 0.000 0.000 0.500
Cu 0.000 0.500 0.750
Cu 0.500 0.000 0.250
Cu 0.500 0.500 0.000
Os 0.000 0.000 0.000
Os 0.000 0.500 0.250
Os 0.500 0.000 0.750
Os 0.500 0.500 0.500

[3]
! ZrCuOs PBE optimized geometry; values from VASP
! Distance to the lowest polymorph of the same formula: 735 meV/atom
! DOS(E_F): 11.34 states/eV per cell
&SYSTEM
  ibrav = 0, nat = 12, ntyp = 3
/
ATOMIC_SPECIES
Zr 91.22 Zr.upf
Cu 63.55 Cu.upf
Os 190.23 Os.upf
CELL_PARAMETERS angstrom
6.173 0.000 0.000
0.000 6.173 0.000
0.000 0.000 6.173
ATOMIC_POSITIONS crystal
Zr 0.000 0.000 0.000
Zr 0.000 0.500 0.500
Zr 0.500 0.000 0.500
Zr 0.500 0.500 0.000
Cu 0.250 0.250 0.750
Cu 0.250 0.750 0.250
Cu 0.750 0.250 0.250
Cu 0.750 0.750 0.750
Os 0.250 0.250 0.250
Os 0.250 0.750 0.750
Os 0.750 0.250 0.750
Os 0.750 0.750 0.250

[4]
! Zr5CuOs4 PBE optimized geometry; values from VASP
! DOS(E_F): 3.67 states/eV per cell
! DFT total energy: -9.63 eV/atom
&SYSTEM
  ibrav = 0, nat = 10, ntyp = 3
/
ATOMIC_SPECIES
Zr 91.22 Zr.upf
Cu 63.55 Cu.upf
Os 190.23 Os.upf
CELL_PARAMETERS angstrom
3.269 0.000 0.000
0.000 3.269 0.000
0.000 0.000 16.662
ATOMIC_POSITIONS crystal
Zr 0.000 0.000 0.000
Zr 0.000 0.000 0.200
Zr 0.000 0.000 0.399
Zr 0.000 0.000 0.601
Zr 0.000 0.000 0.800
Cu 0.500 0.500 0.500
Os 0.500 0.500 0.100
Os 0.500 0.500 0.300
Os 0.500 0.500 0.700
Os 0.500 0.500 0.900

[5]
! ZrCuOs2 PBE optimized geometry; values from VASP
! Distance to the lowest polymorph of the same formula: 225 meV/atom
! DOS(E_F): 17.54 states/eV per cell
&SYSTEM
  ibrav = 0, nat = 16, ntyp = 3
/
ATOMIC_SPECIES
Zr 91.22 Zr.upf
Cu 63.55 Cu.upf
Os 190.23 Os.upf
CELL_PARAMETERS angstrom
6.303 0.000 0.000
0.000 6.303 0.000
0.000 0.000 6.303
ATOMIC_POSITIONS crystal
Zr 0.000 0.000 0.000
Zr 0.000 0.500 0.500
Zr 0.500 0.000 0.500
Zr 0.500 0.500 0.000
Cu 0.000 0.000 0.500
Cu 0.000 0.500 0.000
Cu 0.500 0.000 0.000
Cu 0.500 0.500 0.500
Os 0.250 0.250 0.250
Os 0.250 0.250 0.750
Os 0.250 0.750 0.250
Os 0.250 0.750 0.750
Os 0.750 0.250 0.250
Os 0.750 0.250 0.750
Os 0.750 0.750 0.250
Os 0.750 0.750 0.750

[6]
! ZrCu2Os2 PBE optimized geometry; values from VASP
! Distance to the lowest polymorph of the same formula: 100 meV/atom
! DOS(E_F): 10.94 states/eV per cell
&SYSTEM
  ibrav = 0, nat = 10, ntyp = 3
/
ATOMIC_SPECIES
Zr 91.22 Zr.upf
Cu 63.55 Cu.upf
Os 190.23 Os.upf
CELL_PARAMETERS angstrom
3.717 0.000 0.000
0.000 3.717 0.000
0.000 0.000 11.824
ATOMIC_POSITIONS crystal
Zr 0.000 0.000 0.000
Zr 0.500 0.500 0.500
Cu 0.000 0.500 0.250
Cu 0.000 0.500 0.750
Cu 0.500 0.000 0.250
Cu 0.500 0.000 0.750
Os 0.000 0.000 0.399
Os 0.000 0.000 0.601
Os 0.500 0.500 0.101
Os 0.500 0.500 0.899

[7]
! ZrCuOs2 PBE optimized geometry; values from VASP
! Distance to the lowest polymorph of the same formula: 71 meV/atom
! DOS(E_F): 3.98 states/eV per cell
&SYSTEM
  ibrav = 0, nat = 4, ntyp = 3
/
ATOMIC_SPECIES
Zr 91.22 Zr.upf
Cu 63.55 Cu.upf
Os 190.23 Os.upf
CELL_PARAMETERS angstrom
2.848 0.000 0.000
0.000 2.848 0.000
0.000 0.000 7.714
ATOMIC_POSITIONS crystal
Zr 0.000 0.000 0.000
Cu 0.500 0.500 0.262
Os 0.000 0.000 0.493
Os 0.500 0.500 0.708

[8]
! ZrCu2Os PBE optimized geometry; values from VASP
! Distance to the lowest polymorph of the same formula: 351 meV/atom
! DOS(E_F): 12.38 states/eV per cell
&SYSTEM
  ibrav = 0, nat = 12, ntyp = 3
/
ATOMIC_SPECIES
Zr 91.22 Zr.upf
Cu 63.55 Cu.upf
Os 190.23 Os.upf
CELL_PARAMETERS angstrom
2.785 0.000 0.000
-1.392 2.412 0.000
0.000 0.000 27.188
ATOMIC_POSITIONS crystal
Zr 0.000 0.000 0.000
Zr 0.333 0.667 0.667
Zr 0.667 0.333 0.333
Cu 0.000 0.000 0.497
Cu 0.000 0.000 0.757
Cu 0.333 0.667 0.163
Cu 0.333 0.667 0.423
Cu 0.667 0.333 0.090
Cu 0.667 0.333 0.830
Os 0.000 0.000 0.242
Os 0.333 0.667 0.908
Os 0.667 0.333 0.575

[9]
! ZrCuOs2 PBE optimized geometry; values from VASP
! Distance to the lowest polymorph of the same formula: 272 meV/atom
! DOS(E_F): 10.30 states/eV per cell
&SYSTEM
  ibrav = 0, nat = 12, ntyp = 3
/
ATOMIC_SPECIES
Zr 91.22 Zr.upf
Cu 63.55 Cu.upf
Os 190.23 Os.upf
CELL_PARAMETERS angstrom
2.793 0.000 0.000
-1.396 2.419 0.000
0.000 0.000 27.915
ATOMIC_POSITIONS crystal
Zr 0.000 0.000 0.000
Zr 0.333 0.667 0.667
Zr 0.667 0.333 0.333
Cu 0.000 0.000 0.245
Cu 0.333 0.667 0.912
Cu 0.667 0.333 0.579
Os 0.000 0.000 0.501
Os 0.000 0.000 0.759
Os 0.333 0.667 0.168
Os 0.333 0.667 0.426
Os 0.667 0.333 0.093
Os 0.667 0.333 0.834

[10]
! ZrCu2Os PBE optimized geometry; values from VASP
! Distance to the lowest polymorph of the same formula: 155 meV/atom
! DOS(E_F): 16.56 states/eV per cell
&SYSTEM
  ibrav = 0, nat = 16, ntyp = 3
/
ATOMIC_SPECIES
Zr 91.22 Zr.upf
Cu 63.55 Cu.upf
Os 190.23 Os.upf
CELL_PARAMETERS angstrom
6.204 0.000 0.000
0.000 6.204 0.000
0.000 0.000 6.204
ATOMIC_POSITIONS crystal
Zr 0.000 0.000 0.000
Zr 0.000 0.500 0.500
Zr 0.500 0.000 0.500
Zr 0.500 0.500 0.000
Cu 0.250 0.250 0.250
Cu 0.250 0.250 0.750
Cu 0.250 0.750 0.250
Cu 0.250 0.750 0.750
Cu 0.750 0.250 0.250
Cu 0.750 0.250 0.750
Cu 0.750 0.750 0.250
Cu 0.750 0.750 0.750
Os 0.000 0.000 0.500
Os 0.000 0.500 0.000
Os 0.500 0.000 0.000
Os 0.500 0.500 0.500

[11]
! ZrCuOs2 PBE optimized geometry; values from VASP
! Distance to the lowest polymorph of the same formula: 165 meV/atom
! DOS(E_F): 3.79 states/eV per cell
&SYSTEM
  ibrav = 0, nat = 4, ntyp = 3
/
ATOMIC_SPECIES
Zr 91.22 Zr.upf
Cu 63.55 Cu.upf
Os 190.23 Os.upf
CELL_PARAMETERS angstrom
3.107 0.000 0.000
0.000 4.397 0.000
0.000 0.000 4.568
ATOMIC_POSITIONS crystal
Zr 0.000 0.000 0.000
Cu 0.500 0.000 0.500
Os 0.000 0.500 0.500
Os 0.500 0.500 0.000

[12]
! ZrCuOs2 PBE optimized geometry; values from VASP
! Distance to the lowest polymorph of the same formula: 122 meV/atom
! DOS(E_F): 5.00 states/eV per cell
&SYSTEM
  ibrav = 0, nat = 4, ntyp = 3
/
ATOMIC_SPECIES
Zr 91.22 Zr.upf
Cu 63.55 Cu.upf
Os 190.23 Os.upf
CELL_PARAMETERS angstrom
3.256 0.000 0.000
0.000 3.256 0.000
0.000 0.000 5.906
ATOMIC_POSITIONS crystal
Zr 0.000 0.000 0.000
Cu 0.000 0.000 0.500
Os 0.500 0.500 0.279
Os 0.500 0.500 0.721